Entry a
ZrFeTcBi: optimized geometry, PBE-GGA.

The structure in POSCAR format:
```
ZrFeTcBi
1.0
2.831 -0.788 3.700
-1.712 -2.073 3.886
1.293 -4.413 1.088
Fe Tc Zr Bi
1 1 1 1
Direct
0.750 0.750 0.750
0.500 0.500 0.500
0.250 0.250 0.250
0.000 0.000 0.000
```

---

Entry b
ZrFeTcBi: optimized geometry, PBE-GGA.

The structure in POSCAR format:
```
ZrFeTcBi
1.0
1.417 -3.665 2.384
-1.580 -0.725 4.254
-2.898 -3.473 0.814
Bi Tc Fe Zr
1 1 1 1
Direct
0.000 0.000 0.000
0.250 0.250 0.250
0.750 0.750 0.750
0.500 0.500 0.500
```

---

Short version: entry b is the most stable of them.